1.
First-principles (GGA-PBE) data for a relaxed Ho2ErGa crystal, as listed in the Alexandria database.

Results
ρ (g/cm³): 8.7
Distance to the lowest polymorph of the same formula (kJ/mol of formula units): 2
Calculated formation energy (eV per atom): -0.276

Unit cell a=3.4954 b=3.4954 c=8.8438 alpha=90.00 beta=90.00 gamma=90.00
Closest atoms and distances in Å follow each position.
Space group P4/mmm (No. 123)
Unique sites:
Ho 0.0000 0.0000 0.2106 (multiplicity 2)  4 Ga 3.09
Er 0.5000 0.5000 0.5000 (multiplicity 1)  4 Er 3.50, 8 Ho 3.56
Ga 0.5000 0.5000 0.0000 (multiplicity 1)  8 Ho 3.09



2.
First-principles (GGA-PBE) data for a relaxed PrYSCl crystal, as listed in the Alexandria database.

Results
ρ (g/cm³): 5.1
E_tot (eV/atom): -5.9263

Unit cell a=6.7426 b=3.8970 c=7.7500 alpha=90.00 beta=106.77 gamma=90.00
Closest atoms and distances in Å follow each position.
Space group Cm (No. 8)
Unique sites:
Pr 0.0000 0.0000 0.0000 (multiplicity 2)  3 S 2.79-2.80
Y 0.1940 0.0000 0.5820 (multiplicity 2)  3 S 2.67, 3 Cl 2.97-2.98
S 0.0922 0.5000 0.7765 (multiplicity 2)  3 Y 2.67, 3 Pr 2.79-2.80
Cl 0.2735 0.5000 0.3194 (multiplicity 2)  3 Y 2.97-2.98, 3 Pr 3.26-3.27



3.
First-principles (GGA-PBE) data for a relaxed K2RbCuP crystal, as listed in the Alexandria database.

Results
ρ (g/cm³): 1.8
Calculated formation energy (eV per atom): 0.939

Unit cell a=6.6555 b=6.6555 c=5.3407 alpha=90.00 beta=90.00 gamma=90.00
Closest atoms and distances in Å follow each position.
Space group P4/mmm (No. 123)
Unique sites:
K 0.0000 0.5000 0.0000 (multiplicity 2)  2 Rb 3.33
Rb 0.0000 0.0000 0.0000 (multiplicity 1)  2 Cu 2.67
Cu 0.0000 0.0000 0.5000 (multiplicity 1)  2 Rb 2.67
P 0.5000 0.5000 0.5000 (multiplicity 1)  8 K 4.27, 4 Cu 4.71



4.
First-principles (GGA-PBE) data for a relaxed Ba6GdRe3O18 crystal, as listed in the Alexandria database.

Results
ρ (g/cm³): 7.0
E_tot (eV/atom): -7.8629

Unit cell a=10.2334 b=17.7218 c=10.1287 alpha=90.00 beta=109.69 gamma=90.00
Closest atoms and distances in Å follow each position.
Space group C2/m (No. 12)
Unique sites:
Ba 0.1309 0.1673 0.3954 (multiplicity 8)  12 O 2.90-3.05
Ba 0.1318 0.5000 0.3912 (multiplicity 4)  12 O 2.92-3.09
Ba 0.2007 0.3409 0.1252 (multiplicity 8)  12 O 2.84-3.09
Ba 0.2232 0.0000 0.1263 (multiplicity 4)  12 O 2.85-3.07
Gd 0.0000 0.1669 0.0000 (multiplicity 4)  6 O 2.26
Re 0.0770 0.3340 0.7315 (multiplicity 8)  6 O 1.85-2.01
Re 0.0780 0.0000 0.7319 (multiplicity 4)  6 O 1.85-2.01
O 0.0406 0.0769 0.8601 (multiplicity 8)  1 Re 2.01
O 0.0449 0.2557 0.8615 (multiplicity 8)  1 Re 2.01
O 0.0484 0.4046 0.8583 (multiplicity 8)  1 Re 1.89
O 0.1110 0.3315 0.3689 (multiplicity 8)  1 Re 1.85
O 0.1128 0.0000 0.3633 (multiplicity 4)  1 Re 1.86
O 0.1201 0.0779 0.6314 (multiplicity 8)  1 Re 1.85
O 0.1221 0.4100 0.6293 (multiplicity 8)  1 Re 1.85
O 0.1253 0.2536 0.6388 (multiplicity 8)  1 Re 1.86
O 0.2251 0.1671 0.1400 (multiplicity 8)  1 Re 2.00
O 0.2387 0.5000 0.1399 (multiplicity 4)  1 Re 1.89



5.
First-principles (GGA-PBE) data for a relaxed ScSiP2 crystal, as listed in the Alexandria database.

Results
ρ (g/cm³): 3.3
E_tot (eV/atom): -6.1770

Unit cell a=3.5459 b=3.5459 c=18.6429 alpha=90.00 beta=90.00 gamma=120.00
Closest atoms and distances in Å follow each position.
Space group R-3m (No. 166, hexagonal axes)
Unique sites:
Sc 0.0000 0.0000 0.0000 (multiplicity 3)  6 P 2.69
Si 0.0000 0.0000 0.5000 (multiplicity 3)  6 P 2.46
P 0.0000 0.0000 0.2400 (multiplicity 6)  3 Si 2.46, 3 Sc 2.69



Question: Which of these has the lowest ρ?
Answer: K2RbCuP